LiYCo | GGA-PBEsol | optimized geometry

As for the crystal system: tetragonal. The space group is I4mm (107). For the calculated total energy, the calculation gives -5.337 eV/atom. As for the density of states at the Fermi level: 0.667 states/eV per atom. The calculated formation energy comes out at 0.516 eV/f.u.

abc: 3.332 3.332 5.194
angles: 108.71 108.71 90.00
Each line ends with the local moment (μB).
Sites, in units of the cell vectors:
Li (0.360, 0.360, 0.720)  -0.01
Y (0.650, 0.650, 0.299)  -0.10
Co (0.990, 0.990, 0.981)  0.80

HgSbTe2 | GGA-PBEsol | optimized geometry

As for the crystal system: trigonal. The space group is R-3m (166). As for the uncorrected formation energy: 0.35 eV per formula unit. For the calculated total energy, the calculation gives -2.958 eV/atom. As for the density of states at the Fermi level: 0.490 states/eV per atom.

abc: 4.091 4.091 9.948
angles: 78.14 78.14 60.00
Sites, in units of the cell vectors:
Sb (0.500, 0.500, 0.500)
Hg (0.000, 0.000, 0.000)
Te (0.101, 0.101, 0.696)
Te (0.899, 0.899, 0.304)

Al3GeMo | GGA-PBEsol | optimized geometry

As for the crystal system: cubic. The space group is Pm-3m (221). For the calculated total energy, the calculation gives -5.048 eV/atom. As for the density of states at the Fermi level: 0.420 states/eV per atom. The calculated formation energy comes out at 3.740 eV/f.u.

abc: 4.786 4.786 4.786
angles: 90.00 90.00 90.00
Sites, in units of the cell vectors:
Al (0.500, 0.000, 0.000)
Al (0.000, 0.000, 0.500)
Mo (0.000, 0.000, 0.000)
Ge (0.500, 0.500, 0.500)
Al (0.000, 0.500, 0.000)

ZrOs2Rh | GGA-PBEsol | optimized geometry

As for the crystal system: tetragonal. The space group is I-4m2 (119). For the calculated total energy, the calculation gives -10.580 eV/atom. As for the density of states at the Fermi level: 0.999 states/eV per atom. The calculated formation energy comes out at -0.659 eV/f.u.

abc: 3.958 3.958 4.787
angles: 114.42 114.42 90.00
Sites, in units of the cell vectors:
Os (0.750, 0.250, 0.500)
Zr (0.250, 0.750, 0.500)
Rh (0.500, 0.500, 0.000)
Os (0.000, 0.000, 0.000)